A geometry-optimized MgZn2W structure. Source: the Alexandria database, functional PBEsol.

Properties
crystal system: tetragonal
energy of formation: 0.230 eV per atom
density of states at the Fermi level: 0.8 states/eV/cell
energy: -4.44 eV/atom
mass density: 9.5 Mg/m³

```
data_MgZn2W
_cell_length_a 3.9998
_cell_length_b 3.9998
_cell_length_c 3.7028
_cell_angle_alpha 90.00
_cell_angle_beta 90.00
_cell_angle_gamma 90.00
_space_group_name_H-M_alt 'P 4/m m m'
_space_group_IT_number 123
_space_group_name_Hall '-P 4 2'
loop_
_atom_site_label
_atom_site_type_symbol
_atom_site_fract_x
_atom_site_fract_y
_atom_site_fract_z
_atom_site_occupancy
Mg1 Mg 0.0000 0.0000 0.0000 1
Zn1 Zn 0.0000 0.5000 0.5000 1
W1 W 0.5000 0.5000 0.0000 1
```